Entry i
# ReSbBr | Alexandria | PBE | optimized geometry
# Crystal system: tetragonal
data_ReSbBr
_space_group_name_H-M_alt 'P 1'
_space_group_IT_number 1
_space_group_name_Hall 'P 1'
_cell_length_a 7.396
_cell_length_b 7.396
_cell_length_c 7.396
_cell_angle_alpha 155.22
_cell_angle_beta 155.22
_cell_angle_gamma 35.33
loop_
_atom_site_label
_atom_site_type_symbol
_atom_site_fract_x
_atom_site_fract_y
_atom_site_fract_z
Br1 Br 0.953 0.953 0.000
Sb1 Sb 0.712 0.712 0.000
Re1 Re 0.335 0.335 0.000



Entry ii
# ReSbBr | Alexandria | PBE | optimized geometry
# Crystal system: trigonal
data_ReSbBr
_space_group_name_H-M_alt 'P 1'
_space_group_IT_number 1
_space_group_name_Hall 'P 1'
_cell_length_a 3.274
_cell_length_b 3.274
_cell_length_c 7.902
_cell_angle_alpha 90.00
_cell_angle_beta 90.00
_cell_angle_gamma 120.00
loop_
_atom_site_label
_atom_site_type_symbol
_atom_site_fract_x
_atom_site_fract_y
_atom_site_fract_z
Sb1 Sb 0.333 0.667 0.581
Br1 Br 0.000 0.000 0.087
Re1 Re 0.667 0.333 0.332



Entry iii
# ReSbBr | Alexandria | PBE | optimized geometry
# Crystal system: cubic
data_ReSbBr
_space_group_name_H-M_alt 'P 1'
_space_group_IT_number 1
_space_group_name_Hall 'P 1'
_cell_length_a 4.559
_cell_length_b 4.559
_cell_length_c 4.559
_cell_angle_alpha 60.00
_cell_angle_beta 60.00
_cell_angle_gamma 60.00
loop_
_atom_site_label
_atom_site_type_symbol
_atom_site_fract_x
_atom_site_fract_y
_atom_site_fract_z
Re1 Re 0.750 0.750 0.750
Sb1 Sb 0.000 0.000 0.000
Br1 Br 0.500 0.500 0.500



Most stable: entry ii



Entry i
# ReSbBr | Alexandria | PBE | optimized geometry
# Crystal system: orthorhombic
data_ReSbBr
_space_group_name_H-M_alt 'P 1'
_space_group_IT_number 1
_space_group_name_Hall 'P 1'
_cell_length_a 7.186
_cell_length_b 7.186
_cell_length_c 7.186
_cell_angle_alpha 154.67
_cell_angle_beta 147.37
_cell_angle_gamma 41.75
loop_
_atom_site_label
_atom_site_type_symbol
_atom_site_fract_x
_atom_site_fract_y
_atom_site_fract_z
Br1 Br 0.027 0.027 0.000
Re1 Re 0.205 0.205 0.000
Sb1 Sb 0.769 0.769 0.000



Entry ii
# ReSbBr | Alexandria | PBE | optimized geometry
# Crystal system: trigonal
data_ReSbBr
_space_group_name_H-M_alt 'P 1'
_space_group_IT_number 1
_space_group_name_Hall 'P 1'
_cell_length_a 4.604
_cell_length_b 4.604
_cell_length_c 3.405
_cell_angle_alpha 90.00
_cell_angle_beta 90.00
_cell_angle_gamma 120.00
loop_
_atom_site_label
_atom_site_type_symbol
_atom_site_fract_x
_atom_site_fract_y
_atom_site_fract_z
Sb1 Sb 0.333 0.667 0.552
Br1 Br 0.000 0.000 0.120
Re1 Re 0.667 0.333 0.328



Most stable: entry i



Entry i
# ScReBr2 | Alexandria | PBE | optimized geometry
# Crystal system: orthorhombic
data_ScReBr2
_space_group_name_H-M_alt 'P 1'
_space_group_IT_number 1
_space_group_name_Hall 'P 1'
_cell_length_a 3.253
_cell_length_b 3.253
_cell_length_c 9.945
_cell_angle_alpha 90.00
_cell_angle_beta 90.00
_cell_angle_gamma 117.78
loop_
_atom_site_label
_atom_site_type_symbol
_atom_site_fract_x
_atom_site_fract_y
_atom_site_fract_z
Re1 Re 0.500 0.500 0.250
Br1 Br 0.000 0.000 0.545
Br2 Br 0.000 0.000 0.955
Sc1 Sc 0.500 0.500 0.750



Entry ii
# ScReBr2 | Alexandria | PBE | optimized geometry
# Crystal system: orthorhombic
data_ScReBr2
_space_group_name_H-M_alt 'P 1'
_space_group_IT_number 1
_space_group_name_Hall 'P 1'
_cell_length_a 3.103
_cell_length_b 5.857
_cell_length_c 4.504
_cell_angle_alpha 90.00
_cell_angle_beta 90.00
_cell_angle_gamma 90.00
loop_
_atom_site_label
_atom_site_type_symbol
_atom_site_fract_x
_atom_site_fract_y
_atom_site_fract_z
Re1 Re 0.500 0.000 0.500
Sc1 Sc 0.000 0.500 0.500
Br1 Br 0.500 0.500 0.000
Br2 Br 0.000 0.000 0.000



Entry iii
# ScReBr2 | Alexandria | PBE | optimized geometry
# Crystal system: tetragonal
data_ScReBr2
_space_group_name_H-M_alt 'P 1'
_space_group_IT_number 1
_space_group_name_Hall 'P 1'
_cell_length_a 4.568
_cell_length_b 4.568
_cell_length_c 3.402
_cell_angle_alpha 90.00
_cell_angle_beta 90.00
_cell_angle_gamma 90.00
loop_
_atom_site_label
_atom_site_type_symbol
_atom_site_fract_x
_atom_site_fract_y
_atom_site_fract_z
Br1 Br 0.000 0.000 0.000
Br2 Br 0.500 0.500 0.000
Re1 Re 0.500 0.000 0.500
Sc1 Sc 0.000 0.500 0.500



Entry iv
# ScReBr2 | Alexandria | PBE | optimized geometry
# Crystal system: orthorhombic
data_ScReBr2
_space_group_name_H-M_alt 'P 1'
_space_group_IT_number 1
_space_group_name_Hall 'P 1'
_cell_length_a 7.311
_cell_length_b 7.311
_cell_length_c 7.311
_cell_angle_alpha 154.34
_cell_angle_beta 146.61
_cell_angle_gamma 42.58
loop_
_atom_site_label
_atom_site_type_symbol
_atom_site_fract_x
_atom_site_fract_y
_atom_site_fract_z
Re1 Re 0.522 0.522 0.000
Br1 Br 0.278 0.778 0.500
Br2 Br 0.025 0.025 0.000
Sc1 Sc 0.675 0.175 0.500



Most stable: entry iv